(1)
First-principles (PBE-GGA) data for crystalline PuTcGe2 at its relaxed geometry, as listed in Alexandria.

POSCAR file:
```
PuTcGe2
1.0
6.565 0.000 0.000
0.000 6.565 0.000
0.000 0.000 6.565
Pu Tc Ge
4 4 8
Direct
0.000 0.000 0.000
0.000 0.500 0.500
0.500 0.000 0.500
0.500 0.500 0.000
0.000 0.000 0.500
0.000 0.500 0.000
0.500 0.000 0.000
0.500 0.500 0.500
0.250 0.250 0.250
0.250 0.250 0.750
0.250 0.750 0.250
0.250 0.750 0.750
0.750 0.250 0.250
0.750 0.250 0.750
0.750 0.750 0.250
0.750 0.750 0.750
```

Output
Symmetry: Fm-3m (225)
ΔE_f (kJ/mol of formula units): -63
ΔE to the lowest computed polymorph (eV per atom): 0.1444
DFT total energy (eV per atom): -8.65

=====

(2)
First-principles (PBE-GGA) data for crystalline Ce2InCu4Ge3 at its relaxed geometry, as listed in Alexandria.

POSCAR file:
```
Ce2InCu4Ge3
1.0
4.215 0.000 0.000
0.000 4.215 0.000
0.000 0.000 10.385
Ce In Cu Ge
2 1 4 3
Direct
0.000 0.500 0.232
0.500 0.000 0.768
0.000 0.000 0.500
0.000 0.000 0.000
0.000 0.500 0.645
0.500 0.000 0.355
0.500 0.500 0.000
0.000 0.500 0.873
0.500 0.000 0.127
0.500 0.500 0.500
```

Output
Symmetry: P-4m2 (115)
ΔE_f (kJ/mol of formula units): -412
DFT total energy (eV per atom): -4.91

=====

(3)
First-principles (PBE-GGA) data for crystalline Ac4GeRhSe2 at its relaxed geometry, as listed in Alexandria.

POSCAR file:
```
Ac4GeRhSe2
1.0
7.738 0.000 0.000
0.000 4.459 0.000
-2.501 0.000 7.540
Ac Ge Rh Se
4 1 1 2
Direct
0.240 0.000 0.231
0.243 0.500 0.772
0.757 0.500 0.228
0.760 0.000 0.769
0.500 0.000 0.000
0.000 0.500 0.000
0.000 0.000 0.500
0.500 0.500 0.500
```

Output
Symmetry: P2/m (10)
DFT total energy (eV per atom): -5.71
Uncorrected formation energy (meV per atom): -1289.7

=====

(4)
First-principles (PBE-GGA) data for crystalline Ce2ThBi at its relaxed geometry, as listed in Alexandria.

POSCAR file:
```
Ce2ThBi
1.0
4.180 0.000 0.000
0.000 4.180 0.000
0.000 0.000 6.936
Ce Th Bi
2 1 1
Direct
0.000 0.000 0.213
0.000 0.000 0.787
0.500 0.500 0.500
0.500 0.500 0.000
```

Output
Symmetry: P4/mmm (123)
ΔE_f (kJ/mol of formula units): -110
ΔE to the lowest computed polymorph (eV per atom): 0.0502
DFT total energy (eV per atom): -6.08